Entry 1:
This record from the Alexandria database describes CePm2Nd6Y after structural relaxation. The functional is PBE.

```
data_CePm2Nd6Y
_space_group_name_H-M_alt 'C 1 2/m 1'
_space_group_IT_number 12
_space_group_name_Hall '-C 2y'
_cell_length_a 11.625
_cell_length_b 7.177
_cell_length_c 10.121
_cell_angle_alpha 90.00
_cell_angle_beta 124.11
_cell_angle_gamma 90.00
loop_
_atom_site_label
_atom_site_type_symbol
_atom_site_fract_x
_atom_site_fract_y
_atom_site_fract_z
Ce1 Ce 0.000 0.000 0.000
Pm1 Pm 0.145 0.500 0.173
Nd1 Nd 0.118 0.280 0.805
Nd2 Nd 0.216 0.500 0.555
Y1 Y 0.000 0.000 0.500
```

## Properties
As for the total moment: 2.12 μB per cell. For the total energy, the calculation gives -96.3 eV per cell. For the energy of formation from the pure elements, the calculation gives 0.237 eV per atom. The density is 6.6 g/cm3.



Entry 2:
This record from the Alexandria database describes Ce2Pm3NdY6 after structural relaxation. The functional is PBE.

```
data_Ce2Pm3NdY6
_space_group_name_H-M_alt 'C 1 2/m 1'
_space_group_IT_number 12
_space_group_name_Hall '-C 2y'
_cell_length_a 6.235
_cell_length_b 10.800
_cell_length_c 11.835
_cell_angle_alpha 90.00
_cell_angle_beta 100.11
_cell_angle_gamma 90.00
loop_
_atom_site_label
_atom_site_type_symbol
_atom_site_fract_x
_atom_site_fract_y
_atom_site_fract_z
Ce1 Ce 0.000 0.167 0.000
Pm1 Pm 0.000 0.000 0.500
Pm2 Pm 0.000 0.334 0.500
Nd1 Nd 0.000 0.500 0.000
Y1 Y 0.247 0.000 0.248
Y2 Y 0.250 0.168 0.752
```

## Properties
As for the total moment: 3.96 μB per cell. For the total energy, the calculation gives -138.2 eV per cell. For the energy of formation from the pure elements, the calculation gives 0.047 eV per atom. The density is 5.9 g/cm3.



Entry 3:
This record from the Alexandria database describes CePm2Nd3Y6 after structural relaxation. The functional is PBE.

```
data_CePm2Nd3Y6
_space_group_name_H-M_alt 'C 1 2/m 1'
_space_group_IT_number 12
_space_group_name_Hall '-C 2y'
_cell_length_a 6.277
_cell_length_b 10.870
_cell_length_c 11.871
_cell_angle_alpha 90.00
_cell_angle_beta 100.14
_cell_angle_gamma 90.00
loop_
_atom_site_label
_atom_site_type_symbol
_atom_site_fract_x
_atom_site_fract_y
_atom_site_fract_z
Ce1 Ce 0.000 0.000 0.000
Pm1 Pm 0.000 0.333 0.000
Nd1 Nd 0.000 0.167 0.500
Nd2 Nd 0.000 0.500 0.500
Y1 Y 0.248 0.166 0.248
Y2 Y 0.249 0.000 0.752
```

## Properties
As for the total moment: 2.30 μB per cell. For the total energy, the calculation gives -136.3 eV per cell. For the energy of formation from the pure elements, the calculation gives 0.031 eV per atom. The density is 5.8 g/cm3.



Entry 4:
This record from the Alexandria database describes CePmNd6Y2 after structural relaxation. The functional is PBE.

```
data_CePmNd6Y2
_space_group_name_H-M_alt 'C 1 2/m 1'
_space_group_IT_number 12
_space_group_name_Hall '-C 2y'
_cell_length_a 11.397
_cell_length_b 7.029
_cell_length_c 8.967
_cell_angle_alpha 90.00
_cell_angle_beta 103.28
_cell_angle_gamma 90.00
loop_
_atom_site_label
_atom_site_type_symbol
_atom_site_fract_x
_atom_site_fract_y
_atom_site_fract_z
Ce1 Ce 0.000 0.000 0.000
Pm1 Pm 0.000 0.500 0.500
Nd1 Nd 0.129 0.000 0.417
Nd2 Nd 0.169 0.265 0.799
Y1 Y 0.094 0.500 0.161
```

## Properties
As for the total moment: 2.70 μB per cell. For the total energy, the calculation gives -99.7 eV per cell. For the energy of formation from the pure elements, the calculation gives 0.236 eV per atom. The density is 6.3 g/cm3.



Entry 5:
This record from the Alexandria database describes CePmNdZn after structural relaxation. The functional is PBE.

```
data_CePmNdZn
_space_group_name_H-M_alt 'F -4 3 m'
_space_group_IT_number 216
_space_group_name_Hall 'F -4 2 3'
_cell_length_a 7.668
_cell_length_b 7.668
_cell_length_c 7.668
_cell_angle_alpha 90.00
_cell_angle_beta 90.00
_cell_angle_gamma 90.00
loop_
_atom_site_label
_atom_site_type_symbol
_atom_site_fract_x
_atom_site_fract_y
_atom_site_fract_z
Ce1 Ce 0.000 0.000 0.000
Pm1 Pm 0.250 0.250 0.750
Nd1 Nd 0.000 0.000 0.500
Zn1 Zn 0.250 0.250 0.250
```

## Properties
As for the total moment: 6.07 μB per cell. For the total energy, the calculation gives -65.4 eV per cell. For the energy of formation from the pure elements, the calculation gives 0.096 eV per atom. The density is 7.3 g/cm3.



Entry 6:
This record from the Alexandria database describes CePmNdZr after structural relaxation. The functional is PBE.

```
data_CePmNdZr
_space_group_name_H-M_alt 'F -4 3 m'
_space_group_IT_number 216
_space_group_name_Hall 'F -4 2 3'
_cell_length_a 7.814
_cell_length_b 7.814
_cell_length_c 7.814
_cell_angle_alpha 90.00
_cell_angle_beta 90.00
_cell_angle_gamma 90.00
loop_
_atom_site_label
_atom_site_type_symbol
_atom_site_fract_x
_atom_site_fract_y
_atom_site_fract_z
Ce1 Ce 0.000 0.000 0.000
Pm1 Pm 0.000 0.000 0.500
Nd1 Nd 0.250 0.250 0.250
Zr1 Zr 0.250 0.250 0.750
```

## Properties
As for the total moment: 3.80 μB per cell. For the total energy, the calculation gives -91.6 eV per cell. For the energy of formation from the pure elements, the calculation gives 0.274 eV per atom. The density is 7.2 g/cm3.



Entry 7:
This record from the Alexandria database describes CePr3Nd4 after structural relaxation. The functional is PBE.

```
data_CePr3Nd4
_space_group_name_H-M_alt 'C 1 2/m 1'
_space_group_IT_number 12
_space_group_name_Hall '-C 2y'
_cell_length_a 25.924
_cell_length_b 3.509
_cell_length_c 6.250
_cell_angle_alpha 90.00
_cell_angle_beta 95.69
_cell_angle_gamma 90.00
loop_
_atom_site_label
_atom_site_type_symbol
_atom_site_fract_x
_atom_site_fract_y
_atom_site_fract_z
Ce1 Ce 0.000 0.000 0.000
Pr1 Pr 0.000 0.500 0.500
Pr2 Pr 0.145 0.500 0.737
Nd1 Nd 0.104 0.500 0.219
Nd2 Nd 0.221 0.000 0.237
```

## Properties
As for the total moment: 1.63 μB per cell. For the total energy, the calculation gives -75.2 eV per cell. For the energy of formation from the pure elements, the calculation gives 0.220 eV per atom. The density is 6.7 g/cm3.



Entry 8:
This record from the Alexandria database describes CePr8Nd2 after structural relaxation. The functional is PBE.

```
data_CePr8Nd2
_space_group_name_H-M_alt 'I m m m'
_space_group_IT_number 71
_space_group_name_Hall '-I 2 2'
_cell_length_a 5.797
_cell_length_b 8.352
_cell_length_c 16.254
_cell_angle_alpha 90.00
_cell_angle_beta 90.00
_cell_angle_gamma 90.00
loop_
_atom_site_label
_atom_site_type_symbol
_atom_site_fract_x
_atom_site_fract_y
_atom_site_fract_z
Ce1 Ce 0.000 0.000 0.000
Pr1 Pr 0.000 0.213 0.500
Pr2 Pr 0.000 0.291 0.134
Pr3 Pr 0.000 0.500 0.340
Nd1 Nd 0.000 0.000 0.300
```

## Properties
As for the total moment: 1.94 μB per cell. For the total energy, the calculation gives -104.9 eV per cell. For the energy of formation from the pure elements, the calculation gives 0.112 eV per atom. The density is 6.6 g/cm3.